No. 1
! PBE LiSmTl6, optimized geometry; values from VASP
&SYSTEM
  ibrav = 0, nat = 16, ntyp = 3
/
ATOMIC_SPECIES
Li 6.94 Li.upf
Sm 150.36 Sm.upf
Tl 204.38 Tl.upf
CELL_PARAMETERS angstrom
9.524 0.000 0.000
0.000 9.553 0.000
0.000 0.000 4.828
ATOMIC_POSITIONS angstrom
Li 0.000 0.000 0.000
Li 4.762 4.777 0.000
Sm 0.000 4.777 0.000
Sm 4.762 0.000 0.000
Tl 0.000 2.358 2.414
Tl 0.000 7.195 2.414
Tl 2.337 0.000 2.414
Tl 2.381 2.388 0.000
Tl 2.381 7.165 0.000
Tl 2.425 4.777 2.414
Tl 4.762 2.418 2.414
Tl 4.762 7.135 2.414
Tl 7.099 4.777 2.414
Tl 7.143 2.388 0.000
Tl 7.143 7.165 0.000
Tl 7.187 0.000 2.414
! formation energy from the elements	-0.14	eV per atom
! density	10.46	Mg/m³


No. 2
! PBE MnGePd, optimized geometry; values from VASP
&SYSTEM
  ibrav = 0, nat = 3, ntyp = 3
/
ATOMIC_SPECIES
Mn 54.94 Mn.upf
Ge 72.64 Ge.upf
Pd 106.42 Pd.upf
CELL_PARAMETERS angstrom
4.271 0.000 0.000
-2.136 3.699 0.000
0.000 0.000 2.896
ATOMIC_POSITIONS angstrom
Mn 0.000 0.000 0.000
Ge 2.136 1.233 1.448
Pd 0.000 2.466 1.448
! formation energy from the elements	-0.23	eV per atom
! density	8.49	Mg/m³